Y4Co2Sn: optimized geometry, PBE.

a b c (Å): 8.4655 8.4655 6.9256
angles (deg): 108.22 108.26 120.38
Fractional positions:
Y 0.8899 0.5475 0.6043
Y 0.4359 0.5172 0.2939
Y 0.7972 0.6400 0.1042
Y 0.4923 0.7793 0.9175
Y 0.0290 0.2423 0.4179
Y 0.3487 0.0214 0.2268
Y 0.2717 0.0985 0.7269
Y 0.7675 0.1865 0.7942
Sn 0.9195 0.9374 0.8799
Sn 0.1869 0.6691 0.3795
Co 0.1577 0.5500 0.9525
Co 0.6548 0.2495 0.1253
Co 0.7994 0.9073 0.4522
Co 0.4994 0.4039 0.6249

Summary:
Its volume is 23.76 Å³ per atom. For the total energy, the calculation gives -6.5709 eV/atom.